No. 1
This record from the Alexandria database describes an optimized crystal structure of TlAg2TeBr6. The functional is GGA-PBE.

Unit cell a=7.5946 b=7.1715 c=9.4115 alpha=98.32 beta=120.65 gamma=113.75
With the nearest neighbours (Å) after each atom.
Fractional coordinates of all 10 atoms:
Br 0.4426 0.0409 0.1630  1 Te 2.73, 1 Ag 2.81
Br 0.8082 0.6897 0.1628  2 Ag 2.67-2.68
Br 0.7792 0.5816 0.7264  1 Te 2.71, 1 Ag 2.86
Br 0.5643 0.9733 0.7698  1 Ag 2.72, 1 Te 2.76
Tl 0.9937 0.5175 0.4860  6 Br 3.29-3.64
Ag 0.6094 0.7780 0.3069  4 Br 2.67-2.81
Te 0.0055 0.0083 0.9723  4 Br 2.71-2.77
Br 0.0306 0.1362 0.6417  2 Ag 2.68-2.74
Br 0.2142 0.4267 0.2349  1 Ag 2.67, 1 Te 2.77
Ag 0.5179 0.3255 0.8387  4 Br 2.68-2.86

Values from the calculation:
The final energy is -25.07 eV per formula unit. Its energy relative to the elements, uncorrected is -382 meV/atom. As for the space group: P1 (1). The density comes out at 4718 kg/m3. The total magnetization comes out at 1.000 μB/f.u.


No. 2
This record from the Alexandria database describes an optimized crystal structure of HfAlAu. The functional is GGA-PBE.

Unit cell a=3.9387 b=7.9195 c=3.8205 alpha=103.97 beta=89.98 gamma=104.40
With the nearest neighbours (Å) after each atom.
Fractional coordinates of all 6 atoms:
Hf 0.6374 0.1705 0.2794  1 Al 2.73, 4 Au 2.86
Al 0.9538 0.8035 0.0960  6 Au 2.70-2.75, 2 Al 2.75
Hf 0.2737 0.4437 0.9159  4 Al 2.83, 3 Au 2.84-3.11
Au 0.0823 0.0608 0.7245  2 Al 2.70, 5 Hf 2.84-2.86, 2 Au 2.90
Au 0.4393 0.7746 0.5820  6 Al 2.64-2.75, 2 Au 2.90
Al 0.8207 0.5373 0.4628  2 Au 2.64, 5 Hf 2.73-2.83, 2 Al 2.75

Values from the calculation:
The final energy is -18.27 eV per formula unit. As for the space group: Imm2 (44). The density comes out at 11956 kg/m3. The value obtained for the calculated formation energy is -0.4307 eV per atom. The total magnetization comes out at 0.000 μB/f.u.


No. 3
This record from the Alexandria database describes an optimized crystal structure of La2ErAl. The functional is GGA-PBE.

Unit cell a=4.9906 b=4.8486 c=4.8486 alpha=90.00 beta=90.00 gamma=90.00
With the nearest neighbours (Å) after each atom.
Fractional coordinates of all 4 atoms:
Er 0.5000 0.5000 0.5000  4 Al 3.43, 8 La 3.48
La 0.0000 0.5000 0.0000  4 La 3.43, 4 Er 3.48, 4 Al 3.48
La 0.0000 0.0000 0.5000  4 La 3.43, 4 Er 3.48, 4 Al 3.48
Al 0.5000 0.0000 0.0000  4 Er 3.43, 8 La 3.48

Values from the calculation:
The final energy is -18.81 eV per formula unit. As for the space group: P4/mmm (123). The density comes out at 6681 kg/m3. For the distance to the lowest polymorph of the same formula, the calculation gives 0 meV per atom. The value obtained for the calculated formation energy is -0.1620 eV per atom. The total magnetization comes out at 0.004 μB/f.u.


No. 4
This record from the Alexandria database describes an optimized crystal structure of Y2TaW. The functional is GGA-PBE.

Unit cell a=3.1170 b=3.1170 c=10.2511 alpha=90.00 beta=90.00 gamma=111.33
With the nearest neighbours (Å) after each atom.
Fractional coordinates of all 4 atoms:
W 0.5000 0.5000 0.7245  2 Ta 2.62
Y 0.0000 0.0000 0.9590  2 W 2.98, 4 Y 3.12
Ta 0.0000 0.0000 0.5356  2 W 2.62
Y 0.5000 0.5000 0.2809  4 Y 3.12, 2 Ta 3.15

Values from the calculation:
The final energy is -36.12 eV per formula unit. As for the space group: Cmm2 (35). The density comes out at 9712 kg/m3. For the distance to the lowest polymorph of the same formula, the calculation gives 186 meV per atom. The value obtained for the calculated formation energy is 0.4034 eV per atom. The total magnetization comes out at 0.000 μB/f.u.


No. 5
This record from the Alexandria database describes an optimized crystal structure of Rb14Ba2O9. The functional is GGA-PBE.

Unit cell a=8.3367 b=8.3367 c=11.5416 alpha=90.00 beta=90.00 gamma=120.00
With the nearest neighbours (Å) after each atom.
Fractional coordinates of all 25 atoms:
O 0.2937 0.9383 0.3396  1 Ba 2.61, 3 Rb 2.88-2.91
O 0.7063 0.0617 0.6604  1 Ba 2.61, 3 Rb 2.88-2.91
Ba 0.3333 0.6667 0.2614  4 O 2.61
Ba 0.6667 0.3333 0.7386  4 O 2.61
Rb 0.9247 0.6211 0.4108  4 O 2.88-3.07
O 0.9383 0.6446 0.6604  1 Ba 2.61, 3 Rb 2.88-2.91
Rb 0.0000 0.0000 0.2549  4 O 2.91-2.94
Rb 0.3632 0.0502 0.0919  4 O 2.86-3.15
O 0.6667 0.3333 0.9644  1 Ba 2.61, 3 Rb 2.86
Rb 0.6211 0.6964 0.5892  4 O 2.88-3.07
Rb 0.3130 0.3632 0.9081  4 O 2.86-3.15
Rb 0.6870 0.6368 0.0919  4 O 2.86-3.15
Rb 0.0502 0.6870 0.9081  4 O 2.86-3.15
Rb 0.3036 0.9247 0.5892  4 O 2.88-3.07
Rb 0.3789 0.3036 0.4108  4 O 2.88-3.07
Rb 0.6368 0.9498 0.9081  4 O 2.86-3.15
O 0.0617 0.3554 0.3396  1 Ba 2.61, 3 Rb 2.88-2.91
Rb 0.0753 0.3789 0.5892  4 O 2.88-3.07
O 0.3554 0.2937 0.6604  1 Ba 2.61, 3 Rb 2.88-2.91
O 0.6446 0.7063 0.3396  1 Ba 2.61, 3 Rb 2.88-2.91
O 0.0000 0.0000 0.0000  8 Rb 2.94-3.03
O 0.3333 0.6667 0.0356  1 Ba 2.61, 3 Rb 2.86
Rb 0.0000 0.0000 0.7451  4 O 2.91-2.94
Rb 0.9498 0.3130 0.0919  4 O 2.86-3.15
Rb 0.6964 0.0753 0.4108  4 O 2.88-3.07

Values from the calculation:
The final energy is -91.25 eV per formula unit. Its energy relative to the elements, uncorrected is -1169 meV/atom. As for the space group: P-3 (147). The density comes out at 3861 kg/m3. The total magnetization comes out at 0.252 μB/f.u.


No. 6
This record from the Alexandria database describes an optimized crystal structure of DyEr2Zn2In2. The functional is GGA-PBE.

Unit cell a=4.6981 b=4.6981 c=9.3588 alpha=75.46 beta=75.46 gamma=60.00
With the nearest neighbours (Å) after each atom.
Fractional coordinates of all 7 atoms:
Er 0.8722 0.8722 0.3834  3 In 3.11, 3 Zn 3.21, 3 Er 3.42, 1 Dy 3.43
Dy 0.0000 0.0000 0.0000  6 Zn 3.22, 6 In 3.32, 2 Er 3.43
Zn 0.6024 0.6024 0.1927  3 In 2.72
Er 0.1278 0.1278 0.6166  3 In 3.11, 3 Zn 3.21, 3 Er 3.42, 1 Dy 3.43
In 0.7381 0.7381 0.7858  3 Zn 2.72
In 0.2619 0.2619 0.2142  3 Zn 2.72
Zn 0.3976 0.3976 0.8073  3 In 2.72

Values from the calculation:
The final energy is -23.59 eV per formula unit. As for the space group: R-3m (166). The density comes out at 8316 kg/m3. The value obtained for the calculated formation energy is -0.2628 eV per atom. The total magnetization comes out at 0.000 μB/f.u.


No. 7
This record from the Alexandria database describes an optimized crystal structure of ZrTa3S. The functional is GGA-PBE.

Unit cell a=4.9429 b=4.9429 c=4.9429 alpha=90.00 beta=90.00 gamma=90.00
With the nearest neighbours (Å) after each atom.
Fractional coordinates of all 5 atoms:
Ta 0.0000 0.0000 0.5000  2 Zr 2.47
Ta 0.5000 0.0000 0.0000  2 Zr 2.47
Zr 0.0000 0.0000 0.0000  6 Ta 2.47
S 0.5000 0.5000 0.5000  12 Ta 3.50
Ta 0.0000 0.5000 0.0000  2 Zr 2.47

Values from the calculation:
The final energy is -37.62 eV per formula unit. Its energy relative to the elements, uncorrected is 2122 meV/atom. As for the space group: Pm-3m (221). The density comes out at 9159 kg/m3. For the distance to the lowest polymorph of the same formula, the calculation gives 2066 meV per atom. The total magnetization comes out at 0.000 μB/f.u.


No. 8
This record from the Alexandria database describes an optimized crystal structure of TlAgSe2. The functional is GGA-PBE.

Unit cell a=6.1810 b=6.1810 c=8.6544 alpha=42.79 beta=42.79 gamma=37.14
With the nearest neighbours (Å) after each atom.
Fractional coordinates of all 4 atoms:
Tl 0.7500 0.7500 0.7500  6 Se 3.31-3.41
Se 0.6015 0.6015 0.2669  2 Ag 2.56
Se 0.8985 0.8985 0.2331  2 Ag 2.56
Ag 0.2500 0.2500 0.2500  4 Se 2.56

Values from the calculation:
The final energy is -12.62 eV per formula unit. Its energy relative to the elements, uncorrected is -110 meV/atom. As for the space group: C2/m (12). The density comes out at 6179 kg/m3. The total magnetization comes out at 0.000 μB/f.u.